Record 1
Material: CsAlHg
Method: DFT, PBE
State: relaxed

```
CsAlHg
1.0
7.499 0.000 0.012
0.000 4.930 0.000
-3.957 0.000 13.790
Cs Hg Al
4 4 4
Direct
0.475 0.000 0.407 Cs
0.475 0.500 0.907 Cs
0.085 0.000 0.597 Cs
0.085 0.500 0.097 Cs
0.611 0.000 0.712 Hg
0.611 0.500 0.212 Hg
0.002 0.000 0.868 Hg
0.002 0.500 0.368 Hg
0.926 0.000 0.292 Al
0.926 0.500 0.792 Al
0.625 0.000 0.145 Al
0.625 0.500 0.645 Al
```

Results
The formation energy is 16.9 meV/atom. As for the symmetry: No. 8. For the distance to the lowest polymorph of the same formula, the calculation gives 52 meV/atom.

Record 2
Material: CsAlHgI4
Method: DFT, PBE
State: relaxed

```
CsAlHgI4
1.0
8.066 -0.119 0.000
-3.349 7.339 0.000
0.000 0.000 13.177
Cs Al Hg I
2 2 2 8
Direct
0.753 0.247 0.250 Cs
0.247 0.753 0.750 Cs
0.113 0.887 0.250 Al
0.887 0.113 0.750 Al
0.500 0.500 0.500 Hg
0.500 0.500 0.000 Hg
0.239 0.245 0.750 I
0.755 0.761 0.750 I
0.775 0.225 0.906 I
0.775 0.225 0.594 I
0.225 0.775 0.094 I
0.225 0.775 0.406 I
0.761 0.755 0.250 I
0.245 0.239 0.250 I
```

Results
As for the symmetry: No. 63. For the energy relative to the elements, uncorrected, the calculation gives -81.3 kJ/mol of atoms.

Record 3
Material: CsAlHgI2
Method: DFT, PBE
State: relaxed

```
CsAlHgI2
1.0
6.227 0.000 0.000
0.000 6.227 0.000
0.000 0.000 5.289
Cs I Hg Al
1 2 1 1
Direct
0.500 0.500 0.500 Cs
0.000 0.500 0.000 I
0.500 0.000 0.000 I
0.000 0.000 0.500 Hg
0.000 0.000 0.000 Al
```

Results
As for the symmetry: No. 123. For the energy relative to the elements, uncorrected, the calculation gives -66.6 kJ/mol of atoms.

Repeat the third record exactly.
Material: CsAlHgI2
Method: DFT, PBE
State: relaxed

```
CsAlHgI2
1.0
6.227 0.000 0.000
0.000 6.227 0.000
0.000 0.000 5.289
Cs I Hg Al
1 2 1 1
Direct
0.500 0.500 0.500 Cs
0.000 0.500 0.000 I
0.500 0.000 0.000 I
0.000 0.000 0.500 Hg
0.000 0.000 0.000 Al
```

Results
As for the symmetry: No. 123. For the energy relative to the elements, uncorrected, the calculation gives -66.6 kJ/mol of atoms.